Compound: NaAgAs3
Source: the Alexandria database
Functional: SCAN
Structure: PBEsol geometry

Summary:
The formation energy is 1.18 eV/atom.

The structure in CIF format:
```
data_NaAgAs3
_chemical_formula_sum 'Na1 Ag1 As3'
_cell_length_a 4.8953
_cell_length_b 4.8953
_cell_length_c 4.8953
_cell_angle_alpha 90.00
_cell_angle_beta 90.00
_cell_angle_gamma 90.00
_space_group_name_H-M_alt 'P m -3 m'
_space_group_IT_number 221
_space_group_name_Hall '-P 4 2 3'
loop_
_atom_site_label
_atom_site_fract_x
_atom_site_fract_y
_atom_site_fract_z
_atom_site_occupancy
Na1 0.0000 0.0000 0.0000 1
Ag1 0.5000 0.5000 0.5000 1
As1 0.0000 0.0000 0.5000 1
```



Compound: SbMoHCl2
Source: the Alexandria database
Functional: SCAN
Structure: PBEsol geometry

Summary:
For the final energy, the calculation gives -88.11 eV for the cell shown.

The structure in CIF format:
```
data_SbMoHCl2
_chemical_formula_sum 'Sb1 Mo1 H1 Cl2'
_cell_length_a 4.7703
_cell_length_b 4.7703
_cell_length_c 3.7705
_cell_angle_alpha 90.00
_cell_angle_beta 90.00
_cell_angle_gamma 90.00
_space_group_name_H-M_alt 'P 4/m m m'
_space_group_IT_number 123
_space_group_name_Hall '-P 4 2'
loop_
_atom_site_label
_atom_site_fract_x
_atom_site_fract_y
_atom_site_fract_z
_atom_site_occupancy
Sb1 0.0000 0.0000 0.0000 1
Mo1 0.5000 0.5000 0.0000 1
H1 0.0000 0.0000 0.5000 1
Cl1 0.0000 0.5000 0.5000 1
```



| no. | magnetization (μB/atom) |
| --- | --- |
| 1 | 0.00 |
| 2 | 0.80 |